Record 1
Here is NpPaMo after structural relaxation from Alexandria. Energies are from PBE.

```
NpPaMo
1.0
3.101 0.000 0.000
0.000 4.740 0.000
0.000 -2.370 4.105
Mo Np Pa
1 1 1
Direct
0.357 0.333 0.667 Mo
0.682 0.667 0.333 Np
0.961 0.000 0.000 Pa
```

ΔE to the lowest computed polymorph: 0.06 eV/f.u.
SG: P3m1, No. 156
ΔE_f: 0.20 eV/atom

---

Record 2
Here is NpPaSnMo after structural relaxation from Alexandria. Energies are from PBE.

```
NpPaSnMo
1.0
5.086 0.000 0.000
2.543 4.405 0.000
2.543 1.468 4.153
Pa Np Mo Sn
1 1 1 1
Direct
0.000 0.000 0.000 Pa
0.500 0.500 0.500 Np
0.250 0.250 0.250 Mo
0.750 0.750 0.750 Sn
```

SG: F-43m, No. 216
ΔE_f: 0.35 eV/atom

---

Record 3
Here is NpPaTcMo after structural relaxation from Alexandria. Energies are from PBE.

```
NpPaTcMo
1.0
4.830 0.000 0.000
2.415 4.183 0.000
2.415 1.394 3.944
Tc Pa Mo Np
1 1 1 1
Direct
0.250 0.250 0.250 Tc
0.500 0.500 0.500 Pa
0.750 0.750 0.750 Mo
0.000 0.000 0.000 Np
```

SG: F-43m, No. 216
ΔE_f: 0.19 eV/atom

---

Record 4
Here is NpMoPt after structural relaxation from Alexandria. Energies are from PBE.

```
NpMoPt
1.0
-1.965 1.493 2.094
-3.290 -2.914 -1.009
2.509 -4.845 5.811
Np Pt Mo
2 2 2
Direct
0.000 0.000 0.354 Np
0.500 0.500 0.646 Np
0.000 0.000 0.743 Pt
0.500 0.500 0.257 Pt
0.500 0.000 0.015 Mo
0.000 0.500 0.985 Mo
```

SG: Pmmn, No. 59
ΔE_f: -0.06 eV/atom

---

Record 5
Here is NpReMo after structural relaxation from Alexandria. Energies are from PBE.

```
NpReMo
1.0
-2.920 -0.038 0.566
-0.234 -5.396 -1.575
2.458 -3.737 12.438
Np Re Mo
4 4 4
Direct
0.000 0.999 0.684 Np
0.000 0.001 0.316 Np
0.500 0.499 0.816 Np
0.500 0.501 0.184 Np
0.500 0.264 0.000 Re
0.000 0.236 0.500 Re
0.000 0.764 0.500 Re
0.500 0.736 0.000 Re
0.000 0.999 0.868 Mo
0.000 0.001 0.132 Mo
0.500 0.501 0.368 Mo
0.500 0.499 0.632 Mo
```

ΔE to the lowest computed polymorph: 0.11 eV/f.u.
SG: Pnnm, No. 58
ΔE_f: 0.56 eV/atom

---

Record 6
Here is NpReMo after structural relaxation from Alexandria. Energies are from PBE.

```
NpReMo
1.0
3.663 0.000 0.000
0.000 3.663 0.000
-1.832 -1.832 4.016
Mo Np Re
1 1 1
Direct
0.971 0.971 0.942 Mo
0.278 0.278 0.557 Np
0.601 0.601 0.202 Re
```

ΔE to the lowest computed polymorph: 0.00 eV/f.u.
SG: I4mm, No. 107
ΔE_f: 0.52 eV/atom

---

Record 7
Here is NpReTcMo after structural relaxation from Alexandria. Energies are from PBE.

```
NpReTcMo
1.0
4.588 0.000 0.000
2.294 3.973 0.000
2.294 1.324 3.746
Np Tc Mo Re
1 1 1 1
Direct
0.250 0.250 0.250 Np
0.500 0.500 0.500 Tc
0.750 0.750 0.750 Mo
0.000 0.000 0.000 Re
```

SG: F-43m, No. 216
ΔE_f: 0.25 eV/atom

---

Record 8
Here is NpMoRu2 after structural relaxation from Alexandria. Energies are from PBE.

```
NpMoRu2
1.0
2.978 0.000 0.000
0.000 2.978 0.000
0.000 0.000 7.495
Mo Ru Np
1 2 1
Direct
0.500 0.500 0.000 Mo
0.000 0.000 0.222 Ru
0.000 0.000 0.778 Ru
0.500 0.500 0.500 Np
```

ΔE to the lowest computed polymorph: 0.06 eV/f.u.
SG: P4/mmm, No. 123
ΔE_f: 0.11 eV/atom

---

Record 9
Here is NpMoRu2 after structural relaxation from Alexandria. Energies are from PBE.

```
NpMoRu2
1.0
-1.205 -3.449 2.872
2.731 -3.737 0.418
2.306 -0.780 3.790
Ru Np Mo
2 1 1
Direct
0.231 0.231 0.306 Ru
0.769 0.769 0.694 Ru
0.000 0.000 0.000 Np
0.500 0.500 0.500 Mo
```

ΔE to the lowest computed polymorph: 0.41 eV/f.u.
SG: R-3m, No. 166
ΔE_f: 0.19 eV/atom

---

Record 10
Here is NpMoRu2 after structural relaxation from Alexandria. Energies are from PBE.

```
NpMoRu2
1.0
-1.401 -3.356 1.413
0.406 -1.715 -3.670
3.778 -1.171 0.965
Ru Mo Np
2 1 1
Direct
0.000 0.500 0.000 Ru
0.000 0.000 0.500 Ru
0.500 0.500 0.500 Mo
0.500 0.000 0.000 Np
```

ΔE to the lowest computed polymorph: 0.00 eV/f.u.
SG: P4/mmm, No. 123
ΔE_f: 0.09 eV/atom

---

Record 11
Here is NpMo2Ru after structural relaxation from Alexandria. Energies are from PBE.

```
NpMo2Ru
1.0
2.799 0.000 0.000
1.399 2.424 0.000
1.399 0.808 10.030
Mo Ru Np
2 1 1
Direct
0.906 0.906 0.281 Mo
0.094 0.094 0.719 Mo
0.500 0.500 0.500 Ru
0.000 0.000 0.000 Np
```

SG: R-3m, No. 166
ΔE_f: 0.54 eV/atom

---

Record 12
Here is NpTaMoRu after structural relaxation from Alexandria. Energies are from PBE.

```
NpTaMoRu
1.0
4.638 0.000 0.000
2.319 4.017 0.000
2.319 1.339 3.787
Np Ta Ru Mo
1 1 1 1
Direct
0.500 0.500 0.500 Np
0.000 0.000 0.000 Ta
0.250 0.250 0.250 Ru
0.750 0.750 0.750 Mo
```

SG: F-43m, No. 216
ΔE_f: 0.02 eV/atom

---

Record 13
Here is NpVMoRu after structural relaxation from Alexandria. Energies are from PBE.

```
NpVMoRu
1.0
-3.010 3.308 -0.693
-4.387 -0.716 0.854
-1.980 2.033 3.526
Ru Np Mo V
1 1 1 1
Direct
0.750 0.750 0.750 Ru
0.500 0.500 0.500 Np
0.250 0.250 0.250 Mo
0.000 0.000 0.000 V
```

SG: F-43m, No. 216
ΔE_f: 0.09 eV/atom

---

Record 14
Here is NpMo2S3 after structural relaxation from Alexandria. Energies are from PBE.

```
NpMo2S3
1.0
3.361 0.000 0.000
0.000 6.169 0.294
-1.681 -1.386 11.189
S Mo Np
6 4 2
Direct
0.399 0.642 0.798 S
0.054 0.780 0.109 S
0.601 0.358 0.202 S
0.226 0.206 0.453 S
0.774 0.794 0.547 S
0.946 0.220 0.891 S
0.295 0.531 0.589 Mo
0.705 0.469 0.411 Mo
0.951 0.843 0.901 Mo
0.049 0.157 0.099 Mo
0.644 0.928 0.288 Np
0.356 0.072 0.712 Np
```

SG: C2/m, No. 12
Energy relative to the elements, uncorrected: -0.483 eV per atom

---

Record 15
Here is NpMoS after structural relaxation from Alexandria. Energies are from PBE.

```
NpMoS
1.0
3.422 0.000 0.000
1.711 2.964 0.000
1.711 0.988 10.040
Np Mo S
2 2 2
Direct
0.144 0.144 0.569 Np
0.856 0.856 0.431 Np
0.699 0.699 0.903 Mo
0.301 0.301 0.097 Mo
0.415 0.415 0.755 S
0.585 0.585 0.245 S
```

SG: R-3m, No. 166
Energy relative to the elements, uncorrected: -0.460 eV per atom

---

Record 16
Here is NpMoS3 after structural relaxation from Alexandria. Energies are from PBE.

```
NpMoS3
1.0
5.380 0.000 0.000
0.000 7.519 1.036
0.000 0.150 10.288
S Np Mo
12 4 4
Direct
0.915 0.047 0.668 S
0.592 0.760 0.475 S
0.415 0.953 0.832 S
0.408 0.240 0.525 S
0.585 0.047 0.168 S
0.684 0.365 0.822 S
0.316 0.635 0.178 S
0.816 0.365 0.322 S
0.908 0.760 0.975 S
0.092 0.240 0.025 S
0.184 0.635 0.678 S
0.085 0.953 0.332 S
0.209 0.285 0.769 Np
0.709 0.715 0.731 Np
0.291 0.285 0.269 Np
0.791 0.715 0.231 Np
0.742 0.058 0.457 Mo
0.758 0.058 0.957 Mo
0.258 0.942 0.543 Mo
0.242 0.942 0.043 Mo
```

SG: P2_1/c, No. 14
Energy relative to the elements, uncorrected: -0.931 eV per atom

---

Record 17
Here is NpMo6S8 after structural relaxation from Alexandria. Energies are from PBE.

```
NpMo6S8
1.0
6.479 0.160 0.165
-0.042 6.481 0.165
-0.042 -0.044 6.482
Mo S Np
6 8 1
Direct
0.421 0.562 0.222 Mo
0.562 0.222 0.421 Mo
0.778 0.579 0.438 Mo
0.579 0.438 0.778 Mo
0.438 0.778 0.579 Mo
0.222 0.421 0.562 Mo
0.240 0.240 0.240 S
0.632 0.872 0.244 S
0.244 0.632 0.872 S
0.128 0.756 0.368 S
0.368 0.128 0.756 S
0.760 0.760 0.760 S
0.756 0.368 0.128 S
0.872 0.244 0.632 S
0.000 0.000 0.000 Np
```

SG: R-3, No. 148
Energy relative to the elements, uncorrected: -0.810 eV per atom

---

Record 18
Here is Np3Tl3MoS8 after structural relaxation from Alexandria. Energies are from PBE.

```
Np3Tl3MoS8
1.0
-5.711 2.660 4.476
-1.538 -2.460 -7.172
1.685 -6.398 5.951
Np S Tl Mo
3 8 3 1
Direct
0.500 0.000 0.500 Np
0.500 0.500 0.500 Np
0.000 0.500 0.500 Np
0.780 0.029 0.311 S
0.219 0.437 0.687 S
0.220 0.971 0.689 S
0.751 0.971 0.689 S
0.735 0.469 0.702 S
0.249 0.029 0.311 S
0.781 0.563 0.313 S
0.265 0.531 0.298 S
0.000 0.000 0.000 Tl
0.500 0.500 0.000 Tl
0.000 0.500 0.000 Tl
0.000 0.000 0.500 Mo
```

SG: C2/m, No. 12
Energy relative to the elements, uncorrected: -0.889 eV per atom

---

Record 19
Here is NpSb2Mo after structural relaxation from Alexandria. Energies are from PBE.

```
NpSb2Mo
1.0
-2.117 2.254 0.244
-2.578 -0.466 1.660
3.462 4.359 9.496
Np Sb Mo
1 2 1
Direct
0.500 0.500 0.500 Np
0.916 0.916 0.252 Sb
0.084 0.084 0.748 Sb
0.000 0.000 0.000 Mo
```

ΔE to the lowest computed polymorph: 2.18 eV/f.u.
SG: R-3m, No. 166
Energy relative to the elements, uncorrected: 0.581 eV per atom

---

Record 20
Here is NpSbMo after structural relaxation from Alexandria. Energies are from PBE.

```
NpSbMo
1.0
3.137 0.000 0.000
0.000 3.137 0.000
-1.568 -1.568 14.293
Sb Np Mo
2 2 2
Direct
0.566 0.566 0.132 Sb
0.434 0.434 0.868 Sb
0.847 0.847 0.694 Np
0.153 0.153 0.306 Np
0.724 0.724 0.449 Mo
0.276 0.276 0.551 Mo
```

SG: I4/mmm, No. 139
Energy relative to the elements, uncorrected: 0.154 eV per atom

---

Q: Which D(E_F) values were calculated for the entries above? A: 6.2 8.7 7.1 13.1 25.6 5.2 4.0 6.9 7.1 4.6 6.9 4.3 4.8 16.2 7.1 36.4 11.7 24.9 6.8 11.1, in states/eV per cell.
Q: Which magnetization values were calculated for the entries above? A: 0.970 1.012 0.721 1.228 0.942 0.514 0.823 0.638 0.566 0.001 0.754 0.731 0.687 0.614 0.000 0.719 0.221 0.092 0.766 1.153, in μB/atom.
Q: Which V values were calculated for the entries above? A: 20.114 23.257 19.924 19.389 18.435 17.962 17.068 16.621 16.918 16.169 17.007 17.640 16.393 19.447 16.973 20.766 18.154 26.698 22.619 23.440, in A^3/atom.